(1)
Crystalline ErNbOs at its relaxed geometry, computed with PBE.

N(E_F) in states/eV/f.u.: 3.14
Magnetic moment in μB/cell: 0.00
Relative energy among the computed polymorphs in meV per atom: 43
Symmetry: P4/nmm, No. 129

The structure in POSCAR format:
```
ErNbOs
1.0
-1.683 3.338 2.478
-3.576 -2.526 0.973
3.094 -2.353 5.263
Nb Os Er
2 2 2
Direct
0.250 0.250 0.500
0.750 0.750 0.500
0.750 0.250 0.299
0.250 0.750 0.701
0.750 0.250 0.858
0.250 0.750 0.142
```

=====

(2)
Crystalline AcLaPr6 at its relaxed geometry, computed with PBE.

N(E_F) in states/eV/f.u.: 13.68
Magnetic moment in μB/cell: 0.00
Final energy in eV per atom: -4.70
Symmetry: P4/mmm, No. 123

The structure in POSCAR format:
```
AcLaPr6
1.0
5.303 0.000 0.000
0.000 5.303 0.000
0.000 0.000 10.597
Ac La Pr
1 1 6
Direct
0.000 0.000 0.000
0.000 0.000 0.500
0.500 0.500 0.000
0.500 0.500 0.500
0.500 0.000 0.254
0.500 0.000 0.746
0.000 0.500 0.254
0.000 0.500 0.746
```

=====

(3)
Crystalline CaSiAs2 at its relaxed geometry, computed with PBE.

N(E_F) in states/eV/f.u.: 1.66
Formation energy from raw total energies in eV per atom: -0.20
Magnetic moment in μB/cell: 0.00
Symmetry: P4/mmm, No. 123

The structure in POSCAR format:
```
CaSiAs2
1.0
4.538 0.000 0.000
0.000 4.540 0.000
0.000 0.000 3.904
As Ca Si
2 1 1
Direct
0.000 0.000 0.000
0.500 0.500 0.000
0.500 0.000 0.500
0.000 0.500 0.500
```

=====

(4)
Crystalline SnPb4Au5 at its relaxed geometry, computed with PBE.

N(E_F) in states/eV/f.u.: 3.00
Magnetic moment in μB/cell: 0.00
Final energy in eV per atom: -3.60
Symmetry: P1, No. 1

The structure in POSCAR format:
```
SnPb4Au5
1.0
4.798 2.522 2.353
5.438 9.633 3.122
1.396 2.305 8.387
Sn Pb Au
1 4 5
Direct
0.939 0.016 0.979
0.117 0.616 0.735
0.394 0.219 0.643
0.662 0.753 0.407
0.833 0.433 0.220
0.489 0.621 0.858
0.036 0.164 0.584
0.983 0.889 0.357
0.531 0.333 0.194
0.506 0.955 0.024
```

=====

(5)
Crystalline PuUTc at its relaxed geometry, computed with PBE.

N(E_F) in states/eV/f.u.: 5.91
Magnetic moment in μB/cell: 4.84
Relative energy among the computed polymorphs in meV per atom: 8
Symmetry: P3m1, No. 156

The structure in POSCAR format:
```
PuUTc
1.0
3.124 0.000 0.000
0.000 4.567 0.000
0.000 -2.284 3.955
U Tc Pu
1 1 1
Direct
0.300 0.333 0.667
0.654 0.667 0.333
0.046 0.000 0.000
```

=====

(6)
Crystalline Rb2Tl4SnAu3 at its relaxed geometry, computed with PBE.

N(E_F) in states/eV/f.u.: 3.68
Magnetic moment in μB/cell: 0.00
Final energy in eV per atom: -2.66
Symmetry: P-4m2, No. 115

The structure in POSCAR format:
```
Rb2Tl4SnAu3
1.0
-2.282 1.581 -4.431
-1.384 -4.933 -1.047
-9.948 1.583 5.688
Rb Tl Sn Au
2 4 1 3
Direct
0.500 0.000 0.253
0.000 0.500 0.747
0.500 0.500 0.000
0.000 0.000 0.000
0.500 0.000 0.635
0.000 0.500 0.365
0.500 0.500 0.500
0.000 0.000 0.500
0.500 0.000 0.882
0.000 0.500 0.118
```

=====

Look up the magnetic moment of the second one.
0.00 μB/cell

=====

Look up the magnetic moment of the second one.
0.00 μB/cell